(1)
Density functional theory data (GGA-PBE) for a relaxed structure of LiOsAu2.

## Properties
Space group: Pmm2, No. 25
Volume (A^3/atom): 16.7

Cell lengths 2.658, 4.601, 5.467 Å; angles 90.00, 90.00, 90.00 degrees
Positions (direct):
1 Li 0.000 0.000 0.000
2 Os 0.500 0.500 0.335
3 Au 0.000 0.000 0.469
4 Au 0.500 0.500 0.838

(2)
Density functional theory data (GGA-PBE) for a relaxed structure of LiOsAu2.

## Properties
Space group: R-3m, No. 166
Volume (A^3/atom): 15.7

Cell lengths 2.798, 2.798, 27.830 Å; angles 90.00, 90.00, 120.00 degrees
Positions (direct):
1 Li 0.000 0.000 0.000
2 Li 0.333 0.667 0.667
3 Li 0.667 0.333 0.333
4 Os 0.000 0.000 0.500
5 Os 0.333 0.667 0.167
6 Os 0.667 0.333 0.833
7 Au 0.000 0.000 0.253
8 Au 0.000 0.000 0.747
9 Au 0.333 0.667 0.414
10 Au 0.333 0.667 0.920
11 Au 0.667 0.333 0.080
12 Au 0.667 0.333 0.586

(3)
Density functional theory data (GGA-PBE) for a relaxed structure of LiOsAu2.

## Properties
Space group: P4mm, No. 99
Volume (A^3/atom): 16.0

Cell lengths 2.700, 2.700, 8.777 Å; angles 90.00, 90.00, 90.00 degrees
Positions (direct):
1 Li 0.000 0.000 0.000
2 Os 0.500 0.500 0.235
3 Au 0.000 0.000 0.486
4 Au 0.500 0.500 0.765

Q: Which of them is the most stable? A: (2).

(1)
Density functional theory data (GGA-PBE) for a relaxed structure of LiOsAu2.

## Properties
Space group: Immm, No. 71
Volume (A^3/atom): 16.1

Cell lengths 2.732, 4.939, 9.521 Å; angles 90.00, 90.00, 90.00 degrees
Positions (direct):
1 Li 0.000 0.000 0.000
2 Li 0.500 0.500 0.500
3 Os 0.000 0.000 0.500
4 Os 0.500 0.500 0.000
5 Au 0.000 0.500 0.256
6 Au 0.000 0.500 0.744
7 Au 0.500 0.000 0.244
8 Au 0.500 0.000 0.756

(2)
Density functional theory data (GGA-PBE) for a relaxed structure of LiOsAu2.

## Properties
Space group: Imm2, No. 44
Volume (A^3/atom): 16.2

Cell lengths 2.699, 4.846, 9.889 Å; angles 90.00, 90.00, 90.00 degrees
Positions (direct):
1 Li 0.000 0.000 0.000
2 Li 0.500 0.500 0.500
3 Os 0.000 0.500 0.753
4 Os 0.500 0.000 0.253
5 Au 0.000 0.000 0.497
6 Au 0.000 0.500 0.257
7 Au 0.500 0.000 0.757
8 Au 0.500 0.500 0.997

(3)
Density functional theory data (GGA-PBE) for a relaxed structure of LiOsAu2.

## Properties
Space group: I-42d, No. 122
Volume (A^3/atom): 17.5

Cell lengths 3.915, 3.915, 18.223 Å; angles 90.00, 90.00, 90.00 degrees
Positions (direct):
1 Li 0.000 0.000 0.000
2 Li 0.000 0.500 0.250
3 Li 0.500 0.000 0.750
4 Li 0.500 0.500 0.500
5 Os 0.000 0.000 0.500
6 Os 0.000 0.500 0.750
7 Os 0.500 0.000 0.250
8 Os 0.500 0.500 0.000
9 Au 0.247 0.250 0.125
10 Au 0.250 0.747 0.375
11 Au 0.250 0.753 0.875
12 Au 0.253 0.250 0.625
13 Au 0.747 0.750 0.625
14 Au 0.750 0.247 0.875
15 Au 0.750 0.253 0.375
16 Au 0.753 0.750 0.125

(4)
Density functional theory data (GGA-PBE) for a relaxed structure of LiOsAu2.

## Properties
Space group: Pmmm, No. 47
Volume (A^3/atom): 16.2

Cell lengths 2.725, 4.816, 4.948 Å; angles 90.00, 90.00, 90.00 degrees
Positions (direct):
1 Li 0.000 0.000 0.000
2 Os 0.500 0.000 0.500
3 Au 0.000 0.500 0.500
4 Au 0.500 0.500 0.000

Q: Which of them is the most stable? A: (2).

(1)
Density functional theory data (GGA-PBE) for a relaxed structure of LiOsAu2.

## Properties
Space group: P4/mmm, No. 123
Volume (A^3/atom): 16.0

Cell lengths 4.843, 4.843, 2.723 Å; angles 90.00, 90.00, 90.00 degrees
Positions (direct):
1 Li 0.000 0.000 0.000
2 Os 0.500 0.500 0.000
3 Au 0.000 0.500 0.500
4 Au 0.500 0.000 0.500

(2)
Density functional theory data (GGA-PBE) for a relaxed structure of LiOsAu2.

## Properties
Space group: Cm, No. 8
Volume (A^3/atom): 16.0

Cell lengths 10.268, 2.690, 4.917 Å; angles 90.00, 109.38, 90.00 degrees
Positions (direct):
1 Li 0.000 0.000 0.000
2 Li 0.500 0.500 0.000
3 Os 0.250 0.500 0.437
4 Os 0.750 0.000 0.437
5 Au 0.248 0.000 0.932
6 Au 0.492 0.000 0.482
7 Au 0.748 0.500 0.932
8 Au 0.992 0.500 0.482

Q: Which of them is the most stable? A: (1).